## P
La4PmEr2 | GGA-PBE | relaxed

Cell and atoms, written as CIF:
```
data_La4PmEr2
_cell_length_a 6.5387
_cell_length_b 6.9009
_cell_length_c 12.7610
_cell_angle_alpha 83.74
_cell_angle_beta 75.16
_cell_angle_gamma 61.77
_symmetry_space_group_name_H-M 'P 1'
_symmetry_Int_Tables_number 1
_symmetry_space_group_name_Hall 'P 1'
loop_
_atom_site_label
_atom_site_type_symbol
_atom_site_fract_x
_atom_site_fract_y
_atom_site_fract_z
La1 La 0.0000 0.0000 0.0000
La2 La 0.0193 0.4551 0.0677
La3 La 0.3863 0.2353 0.5009
La4 La 0.4176 0.7389 0.4254
La5 La 0.5398 0.5033 0.9254
La6 La 0.6149 0.9623 0.8577
La7 La 0.8522 0.7752 0.5680
La8 La 0.9593 0.2835 0.3581
Pm1 Pm 0.2424 0.8675 0.7127
Pm2 Pm 0.4927 0.3683 0.2130
Er1 Er 0.1343 0.4162 0.7780
Er2 Er 0.4510 0.9117 0.1483
Er3 Er 0.7482 0.3196 0.6483
Er4 Er 0.9303 0.8254 0.2771
```

Its density of states at the Fermi level is 1.744 states/eV/atom.

## Q
La4PmEr2 | GGA-PBE | relaxed

Cell and atoms, written as CIF:
```
data_La4PmEr2
_cell_length_a 9.0962
_cell_length_b 9.0962
_cell_length_c 9.0962
_cell_angle_alpha 134.80
_cell_angle_beta 100.59
_cell_angle_gamma 96.41
_symmetry_space_group_name_H-M 'P 1'
_symmetry_Int_Tables_number 1
_symmetry_space_group_name_Hall 'P 1'
loop_
_atom_site_label
_atom_site_type_symbol
_atom_site_fract_x
_atom_site_fract_y
_atom_site_fract_z
La1 La 0.1552 0.1533 0.0019
La2 La 0.2575 0.2254 0.4679
La3 La 0.2575 0.7896 0.0321
La4 La 0.3486 0.8467 0.5019
La5 La 0.6514 0.1533 0.4981
La6 La 0.7425 0.2104 0.9679
La7 La 0.7425 0.7746 0.5321
La8 La 0.8448 0.8467 0.9981
Pm1 Pm 0.0000 0.0000 0.5000
Pm2 Pm 0.0000 0.5000 0.0000
Er1 Er 0.0000 0.5000 0.5000
Er2 Er 0.4658 0.7158 0.7500
Er3 Er 0.5000 0.5000 0.0000
Er4 Er 0.5342 0.2842 0.2500
```

Its density of states at the Fermi level is 1.619 states/eV/atom.

The structure with the most favorable energy is P; the runner-up is 155 meV/atom above it.

## P
La4Pm2Er | GGA-PBE | relaxed

Cell and atoms, written as CIF:
```
data_La4Pm2Er
_cell_length_a 9.1868
_cell_length_b 9.1868
_cell_length_c 9.1868
_cell_angle_alpha 135.45
_cell_angle_beta 101.00
_cell_angle_gamma 95.54
_symmetry_space_group_name_H-M 'P 1'
_symmetry_Int_Tables_number 1
_symmetry_space_group_name_Hall 'P 1'
loop_
_atom_site_label
_atom_site_type_symbol
_atom_site_fract_x
_atom_site_fract_y
_atom_site_fract_z
La1 La 0.1531 0.1487 0.0045
La2 La 0.2433 0.2125 0.4692
La3 La 0.2433 0.7741 0.0308
La4 La 0.3558 0.8513 0.5045
La5 La 0.6442 0.1487 0.4955
La6 La 0.7567 0.2259 0.9692
La7 La 0.7567 0.7875 0.5308
La8 La 0.8469 0.8513 0.9955
Pm1 Pm 0.0000 0.5000 0.5000
Pm2 Pm 0.0334 0.2834 0.7500
Pm3 Pm 0.5000 0.5000 0.0000
Pm4 Pm 0.9666 0.7166 0.2500
Er1 Er 0.5000 0.0000 0.0000
Er2 Er 0.5000 0.5000 0.5000
```

Its density of states at the Fermi level is 1.336 states/eV/atom.

## Q
La4Pm2Er | GGA-PBE | relaxed

Cell and atoms, written as CIF:
```
data_La4Pm2Er
_cell_length_a 6.3628
_cell_length_b 9.7363
_cell_length_c 9.7388
_cell_angle_alpha 60.12
_cell_angle_beta 71.13
_cell_angle_gamma 83.84
_symmetry_space_group_name_H-M 'P 1'
_symmetry_Int_Tables_number 1
_symmetry_space_group_name_Hall 'P 1'
loop_
_atom_site_label
_atom_site_type_symbol
_atom_site_fract_x
_atom_site_fract_y
_atom_site_fract_z
La1 La 0.0000 0.0000 0.0000
La2 La 0.9998 0.2853 0.5724
La3 La 0.0010 0.8516 0.7163
La4 La 0.0033 0.5742 0.1398
La5 La 0.4981 0.4997 0.5017
La6 La 0.4996 0.0677 0.6487
La7 La 0.5014 0.2152 0.9318
La8 La 0.5007 0.9269 0.3592
Pm1 Pm 0.0009 0.1447 0.2841
Pm2 Pm 0.0006 0.7131 0.4295
Pm3 Pm 0.5014 0.6383 0.7910
Pm4 Pm 0.5061 0.3580 0.2139
Er1 Er 0.0004 0.4283 0.8578
Er2 Er 0.5013 0.7826 0.0742
```

Its density of states at the Fermi level is 1.838 states/eV/atom.

The structure with the most favorable energy is Q; the runner-up is 178 meV/atom above it.

## P
La2Pm2Er7 | GGA-PBE | relaxed

Cell and atoms, written as CIF:
```
data_La2Pm2Er7
_cell_length_a 6.8956
_cell_length_b 6.8956
_cell_length_c 9.4442
_cell_angle_alpha 90.00
_cell_angle_beta 90.00
_cell_angle_gamma 123.76
_symmetry_space_group_name_H-M 'P 1'
_symmetry_Int_Tables_number 1
_symmetry_space_group_name_Hall 'P 1'
loop_
_atom_site_label
_atom_site_type_symbol
_atom_site_fract_x
_atom_site_fract_y
_atom_site_fract_z
La1 La 0.2484 0.2484 0.0000
La2 La 0.7516 0.7516 0.0000
Pm1 Pm 0.2229 0.7771 0.5000
Pm2 Pm 0.7771 0.2229 0.5000
Er1 Er 0.0000 0.0000 0.3166
Er2 Er 0.0000 0.0000 0.6834
Er3 Er 0.0000 0.5000 0.1823
Er4 Er 0.0000 0.5000 0.8177
Er5 Er 0.5000 0.0000 0.1823
Er6 Er 0.5000 0.0000 0.8177
Er7 Er 0.5000 0.5000 0.5000
```

Its density of states at the Fermi level is 1.556 states/eV/atom.

## Q
La2Pm2Er7 | GGA-PBE | relaxed

Cell and atoms, written as CIF:
```
data_La2Pm2Er7
_cell_length_a 8.7675
_cell_length_b 8.7675
_cell_length_c 9.3209
_cell_angle_alpha 90.00
_cell_angle_beta 90.00
_cell_angle_gamma 144.56
_symmetry_space_group_name_H-M 'P 1'
_symmetry_Int_Tables_number 1
_symmetry_space_group_name_Hall 'P 1'
loop_
_atom_site_label
_atom_site_type_symbol
_atom_site_fract_x
_atom_site_fract_y
_atom_site_fract_z
La1 La 0.9998 0.9998 0.1507
La2 La 0.0002 0.0002 0.8493
Pm1 Pm 0.3173 0.6827 0.5000
Pm2 Pm 0.6827 0.3173 0.5000
Er1 Er 0.1759 0.8187 0.2233
Er2 Er 0.1813 0.8241 0.7767
Er3 Er 0.4982 0.4982 0.3342
Er4 Er 0.5000 0.5000 0.0000
Er5 Er 0.5018 0.5018 0.6658
Er6 Er 0.8187 0.1759 0.2233
Er7 Er 0.8241 0.1813 0.7767
```

Its density of states at the Fermi level is 1.891 states/eV/atom.

The structure with the most favorable energy is P; the runner-up is 404 meV/atom above it.

## P
LaPm5Er3 | GGA-PBE | relaxed

Cell and atoms, written as CIF:
```
data_LaPm5Er3
_cell_length_a 9.9960
_cell_length_b 9.9960
_cell_length_c 7.2973
_cell_angle_alpha 90.01
_cell_angle_beta 90.01
_cell_angle_gamma 56.00
_symmetry_space_group_name_H-M 'P 1'
_symmetry_Int_Tables_number 1
_symmetry_space_group_name_Hall 'P 1'
loop_
_atom_site_label
_atom_site_type_symbol
_atom_site_fract_x
_atom_site_fract_y
_atom_site_fract_z
La1 La 0.1972 0.8028 0.7500
La2 La 0.8028 0.1972 0.2500
Pm1 Pm 0.0100 0.6584 0.5003
Pm2 Pm 0.0112 0.6576 0.9998
Pm3 Pm 0.1653 0.8347 0.2500
Pm4 Pm 0.3424 0.9888 0.5002
Pm5 Pm 0.3416 0.9900 0.9997
Pm6 Pm 0.6584 0.0100 0.0003
Pm7 Pm 0.6576 0.0112 0.4998
Pm8 Pm 0.8347 0.1653 0.7500
Pm9 Pm 0.9888 0.3424 0.0002
Pm10 Pm 0.9900 0.3416 0.4997
Er1 Er 0.3222 0.3230 0.7501
Er2 Er 0.3230 0.3222 0.2501
Er3 Er 0.5000 0.5000 0.0000
Er4 Er 0.5000 0.5000 0.5000
Er5 Er 0.6770 0.6778 0.7499
Er6 Er 0.6778 0.6770 0.2499
```

Its density of states at the Fermi level is 1.415 states/eV/atom.

## Q
LaPm5Er3 | GGA-PBE | relaxed

Cell and atoms, written as CIF:
```
data_LaPm5Er3
_cell_length_a 10.2370
_cell_length_b 10.2370
_cell_length_c 10.2370
_cell_angle_alpha 130.45
_cell_angle_beta 130.45
_cell_angle_gamma 72.69
_symmetry_space_group_name_H-M 'P 1'
_symmetry_Int_Tables_number 1
_symmetry_space_group_name_Hall 'P 1'
loop_
_atom_site_label
_atom_site_type_symbol
_atom_site_fract_x
_atom_site_fract_y
_atom_site_fract_z
La1 La 0.2500 0.7500 0.5000
La2 La 0.7500 0.2500 0.5000
Pm1 Pm 0.0000 0.0000 0.0000
Pm2 Pm 0.0573 0.5573 0.8911
Pm3 Pm 0.1662 0.0573 0.5000
Pm4 Pm 0.3338 0.8338 0.8911
Pm5 Pm 0.4427 0.3338 0.5000
Pm6 Pm 0.5000 0.5000 0.0000
Pm7 Pm 0.5573 0.6662 0.5000
Pm8 Pm 0.6662 0.1662 0.1089
Pm9 Pm 0.8338 0.9427 0.5000
Pm10 Pm 0.9427 0.4427 0.1089
Er1 Er 0.1241 0.3759 0.5000
Er2 Er 0.2500 0.2500 0.0000
Er3 Er 0.3759 0.8759 0.2518
Er4 Er 0.6241 0.1241 0.7482
Er5 Er 0.7500 0.7500 0.0000
Er6 Er 0.8759 0.6241 0.5000
```

Its density of states at the Fermi level is 1.594 states/eV/atom.

The structure with the most favorable energy is P; the runner-up is 142 meV/atom above it.

## P
La2PmEr | GGA-PBE | relaxed

Cell and atoms, written as CIF:
```
data_La2PmEr
_cell_length_a 12.0051
_cell_length_b 12.0051
_cell_length_c 12.0051
_cell_angle_alpha 17.61
_cell_angle_beta 17.61
_cell_angle_gamma 17.61
_symmetry_space_group_name_H-M 'P 1'
_symmetry_Int_Tables_number 1
_symmetry_space_group_name_Hall 'P 1'
loop_
_atom_site_label
_atom_site_type_symbol
_atom_site_fract_x
_atom_site_fract_y
_atom_site_fract_z
La1 La 0.2485 0.2485 0.2485
La2 La 0.7515 0.7515 0.7515
Pm1 Pm 0.0000 0.0000 0.0000
Er1 Er 0.5000 0.5000 0.5000
```

Its density of states at the Fermi level is 1.321 states/eV/atom.

## Q
La2PmEr | GGA-PBE | relaxed

Cell and atoms, written as CIF:
```
data_La2PmEr
_cell_length_a 12.0932
_cell_length_b 12.0932
_cell_length_c 12.0932
_cell_angle_alpha 17.45
_cell_angle_beta 17.45
_cell_angle_gamma 17.45
_symmetry_space_group_name_H-M 'P 1'
_symmetry_Int_Tables_number 1
_symmetry_space_group_name_Hall 'P 1'
loop_
_atom_site_label
_atom_site_type_symbol
_atom_site_fract_x
_atom_site_fract_y
_atom_site_fract_z
La1 La 0.0000 0.0000 0.0000
La2 La 0.1693 0.1693 0.1693
Pm1 Pm 0.4169 0.4169 0.4169
Er1 Er 0.5854 0.5854 0.5854
```

Its density of states at the Fermi level is 1.643 states/eV/atom.

The structure with the most favorable energy is P; the runner-up is 13 meV/atom above it.

## P
LaPm8Er6 | GGA-PBE | relaxed

Cell and atoms, written as CIF:
```
data_LaPm8Er6
_cell_length_a 8.6303
_cell_length_b 8.6303
_cell_length_c 8.6303
_cell_angle_alpha 65.01
_cell_angle_beta 65.01
_cell_angle_gamma 65.01
_symmetry_space_group_name_H-M 'P 1'
_symmetry_Int_Tables_number 1
_symmetry_space_group_name_Hall 'P 1'
loop_
_atom_site_label
_atom_site_type_symbol
_atom_site_fract_x
_atom_site_fract_y
_atom_site_fract_z
La1 La 0.0000 0.0000 0.0000
Pm1 Pm 0.0851 0.6617 0.7738
Pm2 Pm 0.2262 0.9149 0.3383
Pm3 Pm 0.3383 0.2262 0.9149
Pm4 Pm 0.4272 0.4272 0.4272
Pm5 Pm 0.5728 0.5728 0.5728
Pm6 Pm 0.6617 0.7738 0.0851
Pm7 Pm 0.7738 0.0851 0.6617
Pm8 Pm 0.9149 0.3383 0.2262
Er1 Er 0.1068 0.2643 0.5495
Er2 Er 0.2643 0.5495 0.1068
Er3 Er 0.4505 0.8932 0.7357
Er4 Er 0.5495 0.1068 0.2643
Er5 Er 0.7357 0.4505 0.8932
Er6 Er 0.8932 0.7357 0.4505
```

Its density of states at the Fermi level is 1.556 states/eV/atom.

## Q
LaPm8Er6 | GGA-PBE | relaxed

Cell and atoms, written as CIF:
```
data_LaPm8Er6
_cell_length_a 9.4620
_cell_length_b 9.4620
_cell_length_c 6.6382
_cell_angle_alpha 90.00
_cell_angle_beta 90.00
_cell_angle_gamma 120.00
_symmetry_space_group_name_H-M 'P 1'
_symmetry_Int_Tables_number 1
_symmetry_space_group_name_Hall 'P 1'
loop_
_atom_site_label
_atom_site_type_symbol
_atom_site_fract_x
_atom_site_fract_y
_atom_site_fract_z
La1 La 0.0000 0.0000 0.0000
Pm1 Pm 0.0130 0.6891 0.6107
Pm2 Pm 0.3109 0.3240 0.6107
Pm3 Pm 0.3240 0.0130 0.3893
Pm4 Pm 0.3333 0.6667 0.3291
Pm5 Pm 0.6667 0.3333 0.6709
Pm6 Pm 0.6760 0.9870 0.6107
Pm7 Pm 0.6891 0.6760 0.3893
Pm8 Pm 0.9870 0.3109 0.3893
Er1 Er 0.0860 0.4104 0.8942
Er2 Er 0.3244 0.9140 0.8942
Er3 Er 0.4104 0.3244 0.1058
Er4 Er 0.5896 0.6756 0.8942
Er5 Er 0.6756 0.0860 0.1058
Er6 Er 0.9140 0.5896 0.1058
```

Its density of states at the Fermi level is 1.391 states/eV/atom.

The structure with the most favorable energy is P; the runner-up is 48 meV/atom above it.

## P
LaPm2Er6 | GGA-PBE | relaxed

Cell and atoms, written as CIF:
```
data_LaPm2Er6
_cell_length_a 9.5491
_cell_length_b 9.5491
_cell_length_c 6.5946
_cell_angle_alpha 98.43
_cell_angle_beta 98.43
_cell_angle_gamma 95.20
_symmetry_space_group_name_H-M 'P 1'
_symmetry_Int_Tables_number 1
_symmetry_space_group_name_Hall 'P 1'
loop_
_atom_site_label
_atom_site_type_symbol
_atom_site_fract_x
_atom_site_fract_y
_atom_site_fract_z
La1 La 0.1218 0.8782 0.7500
La2 La 0.8782 0.1218 0.2500
Pm1 Pm 0.3311 0.3861 0.6285
Pm2 Pm 0.3861 0.3311 0.1285
Pm3 Pm 0.6139 0.6689 0.8715
Pm4 Pm 0.6689 0.6139 0.3715
Er1 Er 0.0481 0.2209 0.8202
Er2 Er 0.0576 0.4632 0.2651
Er3 Er 0.2209 0.0481 0.3202
Er4 Er 0.2789 0.6541 0.0008
Er5 Er 0.3459 0.7211 0.4992
Er6 Er 0.4632 0.0576 0.7651
Er7 Er 0.5368 0.9424 0.2349
Er8 Er 0.6541 0.2789 0.5008
Er9 Er 0.7211 0.3459 0.9992
Er10 Er 0.7791 0.9519 0.6798
Er11 Er 0.9424 0.5368 0.7349
Er12 Er 0.9519 0.7791 0.1798
```

Its density of states at the Fermi level is 1.316 states/eV/atom.

## Q
LaPm2Er6 | GGA-PBE | relaxed

Cell and atoms, written as CIF:
```
data_LaPm2Er6
_cell_length_a 9.7401
_cell_length_b 9.7401
_cell_length_c 3.5346
_cell_angle_alpha 90.00
_cell_angle_beta 90.00
_cell_angle_gamma 120.00
_symmetry_space_group_name_H-M 'P 1'
_symmetry_Int_Tables_number 1
_symmetry_space_group_name_Hall 'P 1'
loop_
_atom_site_label
_atom_site_type_symbol
_atom_site_fract_x
_atom_site_fract_y
_atom_site_fract_z
La1 La 0.0000 0.0000 0.0000
Pm1 Pm 0.3333 0.6667 0.2373
Pm2 Pm 0.6667 0.3333 0.7627
Er1 Er 0.0226 0.6691 0.7316
Er2 Er 0.3309 0.3535 0.7316
Er3 Er 0.3535 0.0226 0.2684
Er4 Er 0.6465 0.9774 0.7316
Er5 Er 0.6691 0.6465 0.2684
Er6 Er 0.9774 0.3309 0.2684
```

Its density of states at the Fermi level is 1.601 states/eV/atom.

The structure with the most favorable energy is Q; the runner-up is 29 meV/atom above it.

## P
La2PmEr6 | GGA-PBE | relaxed

Cell and atoms, written as CIF:
```
data_La2PmEr6
_cell_length_a 10.7211
_cell_length_b 10.7211
_cell_length_c 5.0900
_cell_angle_alpha 90.00
_cell_angle_beta 90.00
_cell_angle_gamma 90.00
_symmetry_space_group_name_H-M 'P 1'
_symmetry_Int_Tables_number 1
_symmetry_space_group_name_Hall 'P 1'
loop_
_atom_site_label
_atom_site_type_symbol
_atom_site_fract_x
_atom_site_fract_y
_atom_site_fract_z
La1 La 0.1671 0.1671 0.0000
La2 La 0.3329 0.6671 0.5000
La3 La 0.6671 0.3329 0.5000
La4 La 0.8329 0.8329 0.0000
Pm1 Pm 0.0000 0.0000 0.5000
Pm2 Pm 0.5000 0.5000 0.0000
Er1 Er 0.0024 0.3362 0.5000
Er2 Er 0.1638 0.5024 0.0000
Er3 Er 0.1672 0.8328 0.0000
Er4 Er 0.3328 0.3328 0.5000
Er5 Er 0.3362 0.0024 0.5000
Er6 Er 0.4976 0.8362 0.0000
Er7 Er 0.5024 0.1638 0.0000
Er8 Er 0.6638 0.9976 0.5000
Er9 Er 0.6672 0.6672 0.5000
Er10 Er 0.8328 0.1672 0.0000
Er11 Er 0.8362 0.4976 0.0000
Er12 Er 0.9976 0.6638 0.5000
```

Its density of states at the Fermi level is 1.526 states/eV/atom.

## Q
La2PmEr6 | GGA-PBE | relaxed

Cell and atoms, written as CIF:
```
data_La2PmEr6
_cell_length_a 10.2328
_cell_length_b 10.2328
_cell_length_c 10.2328
_cell_angle_alpha 160.90
_cell_angle_beta 120.97
_cell_angle_gamma 62.64
_symmetry_space_group_name_H-M 'P 1'
_symmetry_Int_Tables_number 1
_symmetry_space_group_name_Hall 'P 1'
loop_
_atom_site_label
_atom_site_type_symbol
_atom_site_fract_x
_atom_site_fract_y
_atom_site_fract_z
La1 La 0.1659 0.1659 0.0000
La2 La 0.8341 0.8341 0.0000
Pm1 Pm 0.5000 0.5000 0.0000
Er1 Er 0.1471 0.3335 0.8136
Er2 Er 0.1925 0.0000 0.1925
Er3 Er 0.4801 0.6665 0.8136
Er4 Er 0.5199 0.3335 0.1864
Er5 Er 0.8075 0.0000 0.8075
Er6 Er 0.8529 0.6665 0.1864
```

Its density of states at the Fermi level is 2.123 states/eV/atom.

The structure with the most favorable energy is P; the runner-up is 163 meV/atom above it.